# UAlGe2 (PBE-GGA, relaxed)
data_UAlGe2
_chemical_formula_sum 'U1 Al1 Ge2'
_space_group_name_H-M_alt 'P 4/m m m'
_space_group_IT_number 123
_space_group_name_Hall '-P 4 2'
_cell_length_a 4.307
_cell_length_b 4.307
_cell_length_c 3.990
_cell_angle_alpha 90.00
_cell_angle_beta 90.00
_cell_angle_gamma 90.00
loop_
_atom_site_label
_atom_site_type_symbol
_atom_site_fract_x
_atom_site_fract_y
_atom_site_fract_z
U1 U 0.000 0.000 0.000
Al1 Al 0.500 0.500 0.000
Ge1 Ge 0.000 0.500 0.500
# Crystal system: tetragonal

---

# AlZnGe2 (PBE-GGA, relaxed)
data_AlZnGe2
_chemical_formula_sum 'Al4 Zn4 Ge8'
_space_group_name_H-M_alt 'F -4 3 m'
_space_group_IT_number 216
_space_group_name_Hall 'F -4 2 3'
_cell_length_a 6.604
_cell_length_b 6.604
_cell_length_c 6.604
_cell_angle_alpha 90.00
_cell_angle_beta 90.00
_cell_angle_gamma 90.00
loop_
_atom_site_label
_atom_site_type_symbol
_atom_site_fract_x
_atom_site_fract_y
_atom_site_fract_z
Al1 Al 0.000 0.000 0.000
Zn1 Zn 0.250 0.250 0.250
Ge1 Ge 0.000 0.000 0.500
Ge2 Ge 0.250 0.250 0.750
# Crystal system: cubic

---

# AlInMoH6 (PBE-GGA, relaxed)
data_AlInMoH6
_chemical_formula_sum 'Al4 In4 Mo4 H24'
_space_group_name_H-M_alt 'F -4 3 m'
_space_group_IT_number 216
_space_group_name_Hall 'F -4 2 3'
_cell_length_a 6.714
_cell_length_b 6.714
_cell_length_c 6.714
_cell_angle_alpha 90.00
_cell_angle_beta 90.00
_cell_angle_gamma 90.00
loop_
_atom_site_label
_atom_site_type_symbol
_atom_site_fract_x
_atom_site_fract_y
_atom_site_fract_z
Al1 Al 0.000 0.000 0.000
In1 In 0.000 0.000 0.500
Mo1 Mo 0.250 0.250 0.250
H1 H 0.014 0.250 0.750
# Crystal system: cubic

---

# AlInReH6 (PBE-GGA, relaxed)
data_AlInReH6
_chemical_formula_sum 'Al4 In4 Re4 H24'
_space_group_name_H-M_alt 'F -4 3 m'
_space_group_IT_number 216
_space_group_name_Hall 'F -4 2 3'
_cell_length_a 6.527
_cell_length_b 6.527
_cell_length_c 6.527
_cell_angle_alpha 90.00
_cell_angle_beta 90.00
_cell_angle_gamma 90.00
loop_
_atom_site_label
_atom_site_type_symbol
_atom_site_fract_x
_atom_site_fract_y
_atom_site_fract_z
Al1 Al 0.000 0.000 0.000
In1 In 0.250 0.250 0.250
Re1 Re 0.000 0.000 0.500
H1 H 0.067 0.250 0.750
# Crystal system: cubic

---

# AlMoH6Ir (PBE-GGA, relaxed)
data_AlMoH6Ir
_chemical_formula_sum 'Al4 Mo4 H24 Ir4'
_space_group_name_H-M_alt 'F -4 3 m'
_space_group_IT_number 216
_space_group_name_Hall 'F -4 2 3'
_cell_length_a 6.400
_cell_length_b 6.400
_cell_length_c 6.400
_cell_angle_alpha 90.00
_cell_angle_beta 90.00
_cell_angle_gamma 90.00
loop_
_atom_site_label
_atom_site_type_symbol
_atom_site_fract_x
_atom_site_fract_y
_atom_site_fract_z
Al1 Al 0.000 0.000 0.000
Mo1 Mo 0.000 0.000 0.500
H1 H 0.028 0.250 0.250
Ir1 Ir 0.250 0.250 0.750
# Crystal system: cubic

---

# AlH6IrPt (PBE-GGA, relaxed)
data_AlH6IrPt
_chemical_formula_sum 'Al4 H24 Ir4 Pt4'
_space_group_name_H-M_alt 'F -4 3 m'
_space_group_IT_number 216
_space_group_name_Hall 'F -4 2 3'
_cell_length_a 6.341
_cell_length_b 6.341
_cell_length_c 6.341
_cell_angle_alpha 90.00
_cell_angle_beta 90.00
_cell_angle_gamma 90.00
loop_
_atom_site_label
_atom_site_type_symbol
_atom_site_fract_x
_atom_site_fract_y
_atom_site_fract_z
Al1 Al 0.000 0.000 0.000
H1 H 0.000 0.000 0.280
Ir1 Ir 0.250 0.250 0.750
Pt1 Pt 0.250 0.250 0.250
# Crystal system: cubic

---

# AlSbH6Ir (PBE-GGA, relaxed)
data_AlSbH6Ir
_chemical_formula_sum 'Al4 Sb4 H24 Ir4'
_space_group_name_H-M_alt 'F -4 3 m'
_space_group_IT_number 216
_space_group_name_Hall 'F -4 2 3'
_cell_length_a 6.671
_cell_length_b 6.671
_cell_length_c 6.671
_cell_angle_alpha 90.00
_cell_angle_beta 90.00
_cell_angle_gamma 90.00
loop_
_atom_site_label
_atom_site_type_symbol
_atom_site_fract_x
_atom_site_fract_y
_atom_site_fract_z
Al1 Al 0.000 0.000 0.000
Sb1 Sb 0.250 0.250 0.750
H1 H 0.108 0.250 0.250
Ir1 Ir 0.000 0.000 0.500
# Crystal system: cubic

---

# AlTcMoH6 (PBE-GGA, relaxed)
data_AlTcMoH6
_chemical_formula_sum 'Al4 Tc4 Mo4 H24'
_space_group_name_H-M_alt 'F -4 3 m'
_space_group_IT_number 216
_space_group_name_Hall 'F -4 2 3'
_cell_length_a 6.184
_cell_length_b 6.184
_cell_length_c 6.184
_cell_angle_alpha 90.00
_cell_angle_beta 90.00
_cell_angle_gamma 90.00
loop_
_atom_site_label
_atom_site_type_symbol
_atom_site_fract_x
_atom_site_fract_y
_atom_site_fract_z
Al1 Al 0.000 0.000 0.000
Tc1 Tc 0.250 0.250 0.250
Mo1 Mo 0.250 0.250 0.750
H1 H 0.000 0.000 0.283
# Crystal system: cubic

---

Summary of DFT total energy in eV/atom
-6.3753, -3.3152, -4.0220, -3.3942, -4.4898, -3.6554, -3.1635, -4.6020
(order as listed above)